This record from OQMD describes crystalline CoPb2Cl2O2 at its relaxed geometry. The functional is PBE with a Hubbard U. Values from VASP.

Results
volume	19.97	Å³/atom
VASP energy	-67.97	eV per cell

Geometry as Quantum ESPRESSO input:
```
&SYSTEM
  ibrav = 0, nat = 14, ntyp = 4
/
ATOMIC_SPECIES
Co 58.93 Co.upf
Pb 207.20 Pb.upf
Cl 35.45 Cl.upf
O 16.00 O.upf
ATOMIC_POSITIONS crystal
Co 0.0000 0.0000 0.0000
Co 0.5000 0.5000 0.0000
Pb 0.1875 0.0000 0.7521
Pb 0.3125 0.5000 0.2479
Pb 0.6875 0.5000 0.7521
Pb 0.8125 0.0000 0.2479
Cl 0.0598 0.5000 0.2809
Cl 0.4402 0.0000 0.7191
Cl 0.5598 0.0000 0.2809
Cl 0.9402 0.5000 0.7191
O 0.1829 0.0000 0.0637
O 0.3171 0.5000 0.9363
O 0.6829 0.5000 0.0637
O 0.8171 0.0000 0.9363
CELL_PARAMETERS angstrom
11.8287 0.0000 0.0000
0.0000 3.7527 0.0000
-3.9041 0.0000 6.2990
```